# Li2TiNi2O5 PBE with a Hubbard U optimized geometry
data_Li2TiNi2O5
_chemical_formula_sum 'Li8 Ti4 Ni8 O20'
_cell_length_a 5.032
_cell_length_b 14.855
_cell_length_c 5.080
_cell_angle_alpha 90.00
_cell_angle_beta 108.67
_cell_angle_gamma 90.00
_space_group_name_H-M_alt 'C 1 2/c 1'
_space_group_IT_number 15
loop_
_space_group_symop_operation_xyz
'x,y,z'
'-x,-y,-z'
'-x,y,-z+1/2'
'x,-y,z+1/2'
'x+1/2,y+1/2,z'
'-x+1/2,-y+1/2,-z'
'-x+1/2,y+1/2,-z+1/2'
'x+1/2,-y+1/2,z+1/2'
loop_
_atom_site_label
_atom_site_type_symbol
_atom_site_fract_x
_atom_site_fract_y
_atom_site_fract_z
Li1 Li 0.000 0.053 0.250
Li2 Li 0.000 0.249 0.250
Ti1 Ti 0.000 0.146 0.750
Ni1 Ni 0.000 0.348 0.750
Ni2 Ni 0.000 0.451 0.250
O1 O 0.239 0.148 0.517
O2 O 0.247 0.056 0.994
O3 O 0.250 0.250 0.000
# Density in g/cm3: 4.78
# Electronic total energy in eV per atom: -6.133
# E above lowest polymorph in eV/f.u.: 0.091